Entry P
Material: K2LiH3
Method: DFT, PBE
State: optimized geometry

abc: 3.721 7.693 14.773
angles: 90.00 90.00 90.00
Sites, in units of the cell vectors:
K  0.250  0.764  0.548
H  0.250  0.148  0.575
Li  0.750  0.132  0.132
H  0.250  0.025  0.105
H  0.750  0.852  0.425
H  0.750  0.352  0.075
H  0.250  0.648  0.925
H  0.250  0.328  0.760
K  0.750  0.736  0.048
K  0.750  0.083  0.713
Li  0.750  0.632  0.368
K  0.750  0.236  0.452
K  0.750  0.583  0.787
K  0.250  0.264  0.952
H  0.250  0.525  0.395
Li  0.250  0.868  0.868
H  0.750  0.975  0.895
H  0.750  0.172  0.260
K  0.250  0.417  0.213
H  0.750  0.475  0.605
K  0.250  0.917  0.287
Li  0.250  0.368  0.632
H  0.250  0.828  0.740
H  0.750  0.672  0.240

Computed properties:
The space-group type is No. 62. For the total moment, the calculation gives 0.0 μB/f.u. The value obtained for the volume is 17.62 A^3/atom.

Entry Q
Material: K2LiH3
Method: DFT, PBE
State: optimized geometry

abc: 5.763 7.021 7.021
angles: 128.77 90.00 90.00
Sites, in units of the cell vectors:
H  0.285  0.000  0.000
K  0.535  0.905  0.612
K  0.035  0.388  0.095
Li  0.535  0.188  0.188
H  0.034  0.550  0.827
H  0.785  0.000  0.000
H  0.534  0.450  0.173
Li  0.035  0.812  0.812
H  0.534  0.173  0.450
H  0.034  0.827  0.550
K  0.035  0.095  0.388
K  0.535  0.612  0.905

Computed properties:
The space-group type is No. 63. For the total moment, the calculation gives 0.0 μB/f.u. The value obtained for the volume is 18.46 A^3/atom.

Pick the least stable structure from those above. Pick: entry P